Material: PrY7Er2
Method: DFT, PBE
State: relaxed

Structure (extended XYZ):
```
10
Lattice="4.428 -7.915 0.000 4.428 7.915 0.000 0.000 0.000 5.695" Properties=species:S:1:pos:R:3 pbc="T T T"
Pr 0.000 0.000 0.000
Y 1.575 1.873 2.848
Y 4.428 4.330 0.000
Y 1.575 -1.873 2.848
Y 4.428 0.000 2.848
Y 7.280 1.873 2.848
Y 4.428 -4.330 0.000
Y 7.280 -1.873 2.848
Er 4.428 3.214 2.848
Er 4.428 -3.214 2.848
```

As for the crystal system: orthorhombic. The polymorph energy (0 for the lowest one) is 0.4714 eV per atom. Its mass density is 4.6 g cm⁻³.